A geometry-optimized RbSm3F10 structure, computed with GGA-PBEsol.

```
28
Lattice="0.000 5.905 5.905 5.905 0.000 5.905 5.905 5.905 0.000" Properties=species:S:1:pos:R:3 pbc="T T T"
Rb 2.953 2.953 2.953
Rb 8.858 8.858 8.858
Sm 5.905 5.905 2.829
Sm 5.905 2.829 5.905
Sm 8.981 5.905 5.905
Sm 2.829 5.905 5.905
Sm 5.905 8.981 5.905
Sm 5.905 5.905 8.981
F 1.311 1.311 1.311
F 4.594 4.594 1.311
F 4.594 1.311 4.594
F 5.905 3.949 3.949
F 7.861 5.905 3.949
F 7.861 3.949 5.905
F 10.499 7.216 7.216
F 3.949 5.905 3.949
F 5.905 7.861 3.949
F 3.949 3.949 5.905
F 7.861 7.861 5.905
F 5.905 3.949 7.861
F 7.861 5.905 7.861
F 1.311 4.594 4.594
F 3.949 7.861 5.905
F 3.949 5.905 7.861
F 5.905 7.861 7.861
F 7.216 10.499 7.216
F 7.216 7.216 10.499
F 10.499 10.499 10.499
```

Space group: Fm-3m (225)
ΔE_f (raw), eV per atom: -3.98


A geometry-optimized GdCo2B2 structure, computed with GGA-PBEsol.

```
10
Lattice="3.516 0.000 0.000 0.000 3.516 0.000 0.000 0.000 9.402" Properties=species:S:1:pos:R:3 pbc="T T T"
Gd 0.000 0.000 0.000
Gd 1.758 1.758 4.701
Co 0.000 1.758 2.350
Co 0.000 1.758 7.051
Co 1.758 0.000 2.350
Co 1.758 0.000 7.051
B 0.000 0.000 3.266
B 0.000 0.000 6.135
B 1.758 1.758 1.434
B 1.758 1.758 7.967
```

ΔE_f, eV per atom: -0.603
Space group: I4/mmm (139)


A geometry-optimized BaPHO4 structure, computed with GGA-PBEsol.

```
56
Lattice="6.993 -11.394 0.000 6.993 11.394 0.000 -0.153 0.000 4.655" Properties=species:S:1:pos:R:3 pbc="T T T"
Ba 0.000 0.000 0.000
Ba 4.054 2.714 3.352
Ba 7.596 5.900 0.336
Ba 4.054 -2.714 3.352
Ba 7.121 0.000 1.071
Ba 11.156 2.945 2.548
Ba 7.596 -5.900 0.336
Ba 11.156 -2.945 2.548
P 3.901 5.689 0.557
P 7.584 8.632 2.679
P 3.757 0.000 0.682
P 7.521 2.896 2.981
P 3.901 -5.689 0.557
P 7.521 -2.896 2.981
P 10.681 0.000 0.429
P 7.584 -8.632 2.679
H 8.636 -8.673 0.677
H 2.567 0.000 2.501
H 5.556 4.508 1.809
H 8.636 8.673 0.677
H 8.558 2.941 0.417
H 5.556 -4.508 1.809
H 9.523 0.000 3.160
H 8.558 -2.941 0.417
O 2.949 4.974 4.125
O 1.820 2.983 1.686
O 6.689 9.789 2.229
O 4.917 6.749 0.101
O 4.792 4.430 1.126
O 2.376 0.000 1.491
O 6.817 7.309 2.729
O 8.261 9.008 4.016
O 3.199 0.000 3.857
O 1.820 -2.983 1.686
O 4.555 1.263 1.035
O 6.688 4.187 2.773
O 4.555 -1.263 1.035
O 6.655 1.728 3.465
O 2.949 -4.974 4.125
O 8.605 3.282 4.086
O 8.320 2.484 1.730
O 9.959 5.134 1.618
O 4.792 -4.430 1.126
O 6.655 -1.728 3.465
O 4.917 -6.749 0.101
O 6.688 -4.187 2.773
O 9.220 0.000 4.154
O 8.320 -2.484 1.730
O 10.126 0.000 1.854
O 11.497 1.269 0.126
O 8.605 -3.282 4.086
O 6.817 -7.309 2.729
O 11.497 -1.269 0.126
O 6.689 -9.789 2.229
O 9.959 -5.134 1.618
O 8.261 -9.008 4.016
```

DFT total energy, eV/atom: -7.02
Space group: Cm (8)


A geometry-optimized IrPtBr structure, computed with GGA-PBEsol.

```
12
Lattice="6.126 0.000 0.000 0.000 6.126 0.000 0.000 0.000 6.126" Properties=species:S:1:pos:R:3 pbc="T T T"
Ir 0.000 0.000 0.000
Ir 0.000 3.063 3.063
Ir 3.063 0.000 3.063
Ir 3.063 3.063 0.000
Pt 1.531 1.531 1.531
Pt 1.531 4.594 4.594
Pt 4.594 1.531 4.594
Pt 4.594 4.594 1.531
Br 1.531 1.531 4.594
Br 1.531 4.594 1.531
Br 4.594 1.531 1.531
Br 4.594 4.594 4.594
```

Space group: F-43m (216)
ΔE_f (raw), eV per atom: 1.03


A geometry-optimized SrCaSi4 structure, computed with GGA-PBEsol.

```
6
Lattice="3.922 0.000 0.000 -1.961 3.396 0.000 0.000 0.000 9.803" Properties=species:S:1:pos:R:3 pbc="T T T"
Sr 0.000 0.000 0.000
Ca 0.000 0.000 4.901
Si 0.000 2.264 2.925
Si 0.000 2.264 7.656
Si 1.961 1.132 2.147
Si 1.961 1.132 6.877
```

Space group: P-3m1 (164)
ΔE_f (raw), eV per atom: -0.41


A geometry-optimized BaZn2Cd structure, computed with GGA-PBEsol.

```
4
Lattice="3.622 0.000 0.000 0.000 4.563 0.000 -1.234 0.000 6.235" Properties=species:S:1:pos:R:3 pbc="T T T"
Ba 0.000 0.000 0.000
Zn 0.285 2.282 4.146
Zn 2.104 2.282 2.089
Cd 1.194 0.000 3.117
```

ΔE_f, eV per atom: -0.007
Space group: P2/m (10)


A geometry-optimized ScGa2 structure, computed with GGA-PBEsol.

```
12
Lattice="4.046 0.000 0.000 0.000 12.472 0.000 0.000 0.000 4.087" Properties=species:S:1:pos:R:3 pbc="T T T"
Sc 0.000 1.914 0.000
Sc 0.000 10.558 0.000
Sc 2.023 4.322 0.000
Sc 2.023 8.150 0.000
Ga 0.000 0.000 2.044
Ga 0.000 4.037 2.044
Ga 0.000 6.236 0.000
Ga 0.000 8.435 2.044
Ga 2.023 0.000 0.000
Ga 2.023 2.199 2.044
Ga 2.023 6.236 2.044
Ga 2.023 10.274 2.044
```

ΔE_f, eV per atom: -0.603
Space group: Cmmm (65)


A geometry-optimized CaSbPt structure, computed with GGA-PBEsol.

```
12
Lattice="7.283 0.000 0.000 0.000 4.567 0.000 0.000 0.000 7.857" Properties=species:S:1:pos:R:3 pbc="T T T"
Ca 0.057 1.142 1.547
Ca 3.584 3.425 5.476
Ca 3.699 1.142 2.381
Ca 7.226 3.425 6.310
Sb 1.353 1.142 4.639
Sb 2.289 3.425 0.710
Sb 4.994 1.142 7.146
Sb 5.931 3.425 3.218
Pt 1.434 3.425 3.256
Pt 2.207 1.142 7.184
Pt 5.076 3.425 0.673
Pt 5.849 1.142 4.601
```

Space group: Pnma (62)
ΔE_f (raw), eV per atom: -0.99


A geometry-optimized Sr2YTl structure, computed with GGA-PBEsol.

```
8
Lattice="4.174 0.000 0.000 0.000 5.485 0.000 0.000 0.000 12.139" Properties=species:S:1:pos:R:3 pbc="T T T"
Sr 0.000 0.000 2.594
Sr 0.000 0.000 9.545
Sr 2.087 2.743 3.475
Sr 2.087 2.743 8.664
Y 0.000 2.743 0.000
Y 2.087 0.000 6.069
Tl 0.000 2.743 6.069
Tl 2.087 0.000 0.000
```

ΔE_f, eV per atom: -0.057
Space group: Immm (71)


A geometry-optimized OsBr4 structure, computed with GGA-PBEsol.

```
40
Lattice="6.246 0.000 0.000 0.000 12.087 0.000 0.000 0.000 14.513" Properties=species:S:1:pos:R:3 pbc="T T T"
Os 0.577 1.542 2.640
Os 0.577 4.502 9.896
Os 2.546 7.585 2.640
Os 2.546 10.545 9.896
Os 3.701 1.542 4.616
Os 3.701 4.502 11.873
Os 5.669 7.585 4.616
Os 5.669 10.545 11.873
Br 0.376 9.050 6.260
Br 0.376 9.081 13.516
Br 0.480 8.963 2.771
Br 0.480 9.168 10.027
Br 1.489 6.206 4.490
Br 1.489 11.924 11.746
Br 1.527 0.062 1.001
Br 1.527 5.981 8.257
Br 1.596 6.106 1.001
Br 1.596 12.025 8.257
Br 1.634 0.163 4.490
Br 1.634 5.881 11.746
Br 2.643 2.919 2.771
Br 2.643 3.124 10.027
Br 2.747 3.006 6.260
Br 2.747 3.037 13.516
Br 3.500 9.050 0.996
Br 3.500 9.081 8.252
Br 3.603 8.963 4.485
Br 3.603 9.168 11.741
Br 4.612 6.206 2.767
Br 4.612 11.924 10.023
Br 4.651 0.062 6.256
Br 4.651 5.981 13.512
Br 4.719 6.106 6.256
Br 4.719 12.025 13.512
Br 4.757 0.163 2.767
Br 4.757 5.881 10.023
Br 5.767 2.919 4.485
Br 5.767 3.124 11.741
Br 5.870 3.006 0.996
Br 5.870 3.037 8.252
```

Space group: Pbca (61)
ΔE_f (raw), eV per atom: -0.06


A geometry-optimized Ba2MgSb structure, computed with GGA-PBEsol.

```
16
Lattice="8.267 0.000 0.000 0.000 8.267 0.000 0.000 0.000 8.267" Properties=species:S:1:pos:R:3 pbc="T T T"
Ba 0.000 0.000 0.000
Ba 0.000 4.134 4.134
Ba 2.067 2.067 2.067
Ba 2.067 6.200 6.200
Ba 4.134 0.000 4.134
Ba 4.134 4.134 0.000
Ba 6.200 2.067 6.200
Ba 6.200 6.200 2.067
Mg 0.000 0.000 4.134
Mg 0.000 4.134 0.000
Mg 4.134 0.000 0.000
Mg 4.134 4.134 4.134
Sb 2.067 2.067 6.200
Sb 2.067 6.200 2.067
Sb 6.200 2.067 2.067
Sb 6.200 6.200 6.200
```

Space group: F-43m (216)
ΔE_f (raw), eV per atom: -0.21


A geometry-optimized MnFePb2 structure, computed with GGA-PBEsol.

```
8
Lattice="4.025 0.000 0.000 0.000 3.632 0.000 0.000 0.000 10.259" Properties=species:S:1:pos:R:3 pbc="T T T"
Mn 0.000 0.000 0.000
Mn 0.000 1.816 5.129
Fe 2.013 0.000 1.462
Fe 2.013 1.816 6.592
Pb 0.000 0.000 7.355
Pb 0.000 1.816 2.226
Pb 2.013 0.000 4.379
Pb 2.013 1.816 9.509
```

ΔE_f, eV per atom: 0.480
Space group: Amm2 (38)


A geometry-optimized BaAu3 structure, computed with GGA-PBEsol.

```
16
Lattice="8.150 0.000 0.000 0.000 7.566 0.000 0.000 0.000 6.209" Properties=species:S:1:pos:R:3 pbc="T T T"
Ba 0.212 1.892 0.781
Ba 3.863 5.675 3.886
Ba 4.287 1.892 2.324
Ba 7.938 5.675 5.428
Au 1.139 5.675 2.174
Au 1.307 0.457 3.596
Au 1.307 3.326 3.596
Au 2.768 4.241 0.492
Au 2.768 7.109 0.492
Au 2.936 1.892 5.279
Au 5.214 5.675 0.930
Au 5.381 0.457 5.718
Au 5.381 3.326 5.718
Au 6.843 4.241 2.613
Au 6.843 7.109 2.613
Au 7.011 1.892 4.035
```

ΔE_f, eV per atom: -0.509
Space group: Pnma (62)


A geometry-optimized Bi2Pb3F12 structure, computed with GGA-PBEsol.

```
17
Lattice="4.130 0.000 0.000 -2.045 3.713 0.000 -0.347 -1.733 16.906" Properties=species:S:1:pos:R:3 pbc="T T T"
Bi 0.000 0.000 0.000
Bi -0.285 3.245 3.560
Pb -0.122 0.977 10.387
Pb 1.916 -0.270 13.747
Pb 1.946 2.226 7.011
F -0.093 -1.464 14.557
F -0.003 1.018 3.462
F -0.130 0.940 7.802
F -0.104 1.024 12.842
F 0.023 1.135 15.864
F 1.927 -0.273 6.048
F 2.302 -0.038 1.372
F 1.938 -0.274 11.213
F 2.068 -0.125 16.355
F 2.046 2.281 4.578
F 2.353 2.523 2.064
F 1.946 2.232 9.600
```

Space group: P1 (1)
ΔE_f (raw), eV per atom: -2.37


A geometry-optimized ZnCo2Ru structure, computed with GGA-PBEsol.

```
4
Lattice="2.580 0.000 0.000 0.000 2.580 0.000 0.000 0.000 6.891" Properties=species:S:1:pos:R:3 pbc="T T T"
Zn 0.000 0.000 0.000
Co 1.290 1.290 1.740
Co 1.290 1.290 5.151
Ru 0.000 0.000 3.446
```

ΔE_f, eV per atom: 0.019
Space group: P4/mmm (123)


A geometry-optimized Zr2SiPt structure, computed with GGA-PBEsol.

```
8
Lattice="3.892 0.000 0.000 0.000 3.671 0.000 0.000 0.000 10.230" Properties=species:S:1:pos:R:3 pbc="T T T"
Zr 0.000 0.000 0.000
Zr 0.000 1.835 5.115
Zr 1.946 0.000 3.051
Zr 1.946 1.835 8.166
Si 0.000 0.000 7.500
Si 0.000 1.835 2.385
Pt 1.946 0.000 5.907
Pt 1.946 1.835 0.792
```

Space group: Amm2 (38)
ΔE_f (raw), eV per atom: -0.99


A geometry-optimized La2MnTe structure, computed with GGA-PBEsol.

```
8
Lattice="3.888 0.000 0.000 0.000 4.926 0.000 0.000 0.000 10.647" Properties=species:S:1:pos:R:3 pbc="T T T"
La 0.000 0.000 0.000
La 0.000 2.463 2.425
La 1.944 0.000 7.749
La 1.944 2.463 5.324
Mn 0.000 2.463 8.028
Mn 1.944 0.000 2.704
Te 0.000 0.000 4.665
Te 1.944 2.463 9.989
```

Space group: Imm2 (44)
ΔE_f (raw), eV per atom: -0.39


A geometry-optimized Li2TeAu structure, computed with GGA-PBEsol.

```
4
Lattice="3.490 0.000 0.000 0.000 3.490 0.000 0.000 0.000 6.149" Properties=species:S:1:pos:R:3 pbc="T T T"
Li 0.000 0.000 0.000
Li 1.745 1.745 1.684
Te 0.000 0.000 3.140
Au 1.745 1.745 5.258
```

Space group: P4mm (99)
ΔE_f (raw), eV per atom: -0.41


A geometry-optimized TeAu8 structure, computed with GGA-PBEsol.

```
9
Lattice="-4.453 4.453 2.030 4.453 -4.453 2.030 4.453 4.453 -2.030" Properties=species:S:1:pos:R:3 pbc="T T T"
Te 0.000 0.000 0.000
Au 3.003 0.000 0.000
Au 5.903 0.000 0.000
Au 2.922 2.922 0.000
Au 1.531 -1.531 2.030
Au 0.000 3.003 0.000
Au 0.000 5.903 0.000
Au -1.531 1.531 2.030
Au 1.531 1.531 2.030
```

Space group: I4/mmm (139)
ΔE_f (raw), eV per atom: 0.07